# 1
Compound: SiTeS3
Source: Alexandria via LeMat-Bulk
Functional: PBE
Structure: relaxed

Values from the calculation:
As for the space-group type: Pm-3m (221). Its formation energy from raw total energies is 1.3 eV per formula unit. For the distance to the lowest polymorph of the same formula, the calculation gives 0.000 eV/f.u.

Structure (POSCAR):
```
SiTeS3
1.0
4.5519 0.0000 0.0000
0.0000 4.5519 0.0000
0.0000 0.0000 4.5519
Si Te S
1 1 3
direct
0.0000 0.0000 0.0000
0.5000 0.5000 0.5000
0.0000 0.0000 0.5000
0.0000 0.5000 0.0000
0.5000 0.0000 0.0000
```

# 2
Compound: SiTeS
Source: Alexandria via LeMat-Bulk
Functional: PBE
Structure: relaxed

Values from the calculation:
As for the space-group type: C2 (5). Its formation energy from raw total energies is -0.6 eV per formula unit. For the distance to the lowest polymorph of the same formula, the calculation gives 0.402 eV/f.u.

Structure (POSCAR):
```
SiTeS
1.0
3.5532 0.0000 0.0000
0.0000 13.5453 0.0000
-0.7542 0.0000 3.7771
Si Te S
2 2 2
direct
0.0000 0.0000 0.0000
0.5000 0.5000 0.0000
0.0000 0.1233 0.5000
0.5000 0.6233 0.5000
0.0000 0.4041 0.0000
0.5000 0.9041 0.0000
```

# 3
Compound: SiTeS
Source: Alexandria via LeMat-Bulk
Functional: PBE
Structure: relaxed

Values from the calculation:
As for the space-group type: Cm (8). Its formation energy from raw total energies is -0.6 eV per formula unit. For the distance to the lowest polymorph of the same formula, the calculation gives 0.466 eV/f.u.

Structure (POSCAR):
```
SiTeS
1.0
13.6243 0.0000 0.0000
0.0000 3.3347 0.0000
-1.0505 0.0000 7.5625
Si Te S
4 4 4
direct
0.0000 0.0000 0.0000
0.2243 0.5000 0.6699
0.5000 0.5000 0.0000
0.7243 0.0000 0.6699
0.0478 0.0000 0.6939
0.3117 0.5000 0.0038
0.5478 0.5000 0.6939
0.8117 0.0000 0.0038
0.0609 0.5000 0.1624
0.2895 0.0000 0.5386
0.5609 0.0000 0.1624
0.7895 0.5000 0.5386
```

# 4
Compound: Si2TeS
Source: Alexandria via LeMat-Bulk
Functional: PBE
Structure: relaxed

Values from the calculation:
As for the space-group type: I-42d (122). Its formation energy from raw total energies is 1.4 eV per formula unit. For the distance to the lowest polymorph of the same formula, the calculation gives 0.000 eV/f.u.

Structure (POSCAR):
```
Si2TeS
1.0
5.0582 0.0000 0.0000
0.0000 5.0582 0.0000
0.0000 0.0000 14.8421
Si Te S
8 4 4
direct
0.1662 0.2500 0.1250
0.2500 0.6662 0.3750
0.2500 0.8338 0.8750
0.3338 0.2500 0.6250
0.6662 0.7500 0.6250
0.7500 0.1662 0.8750
0.7500 0.3338 0.3750
0.8338 0.7500 0.1250
0.0000 0.0000 0.5000
0.0000 0.5000 0.7500
0.5000 0.0000 0.2500
0.5000 0.5000 0.0000
0.0000 0.0000 0.0000
0.0000 0.5000 0.2500
0.5000 0.0000 0.7500
0.5000 0.5000 0.5000
```

# 5
Compound: SiTeS
Source: Alexandria via LeMat-Bulk
Functional: PBE
Structure: relaxed

Values from the calculation:
As for the space-group type: P3_2 (145). Its formation energy from raw total energies is -0.6 eV per formula unit. For the distance to the lowest polymorph of the same formula, the calculation gives 0.418 eV/f.u.

Structure (POSCAR):
```
SiTeS
1.0
6.3426 0.0000 0.0000
-3.1713 5.4928 0.0000
0.0000 0.0000 7.3662
Si Te S
3 3 3
direct
0.0357 0.4775 0.0000
0.4418 0.9643 0.3333
0.5225 0.5582 0.6667
0.3073 0.2750 0.3999
0.7250 0.0323 0.0666
0.9677 0.6927 0.7332
0.0846 0.6610 0.2603
0.3390 0.4236 0.9270
0.5764 0.9154 0.5937
```

# 6
Compound: SiTeS2
Source: Alexandria via LeMat-Bulk
Functional: PBE
Structure: relaxed

Values from the calculation:
As for the space-group type: R-3m (166). Its formation energy from raw total energies is 1.8 eV per formula unit. For the distance to the lowest polymorph of the same formula, the calculation gives 3.231 eV/f.u.

Structure (POSCAR):
```
SiTeS2
1.0
3.5552 0.0000 0.0000
-1.7776 3.0789 0.0000
0.0000 0.0000 25.2117
Si Te S
3 3 6
direct
0.0000 0.0000 0.0000
0.3333 0.6667 0.6667
0.6667 0.3333 0.3333
0.0000 0.0000 0.5000
0.3333 0.6667 0.1667
0.6667 0.3333 0.8333
0.0000 0.0000 0.0835
0.0000 0.0000 0.9165
0.3333 0.6667 0.5832
0.3333 0.6667 0.7501
0.6667 0.3333 0.2499
0.6667 0.3333 0.4168
```